(1)
A relaxed structure of TmScAl2. Source: Alexandria, functional GGA-PBE.

Structure (CIF):
```
data_TmScAl2
_cell_length_a 6.932
_cell_length_b 6.932
_cell_length_c 6.932
_cell_angle_alpha 90.00
_cell_angle_beta 90.00
_cell_angle_gamma 90.00
_space_group_name_H-M_alt 'P 1'
_space_group_IT_number 1
loop_
_space_group_symop_operation_xyz
'x,y,z'
loop_
_atom_site_label
_atom_site_type_symbol
_atom_site_fract_x
_atom_site_fract_y
_atom_site_fract_z
Tm1 Tm 0.000 0.000 0.000
Tm2 Tm 0.000 0.500 0.500
Tm3 Tm 0.500 0.000 0.500
Tm4 Tm 0.500 0.500 0.000
Sc1 Sc 0.000 0.000 0.500
Sc2 Sc 0.000 0.500 0.000
Sc3 Sc 0.500 0.000 0.000
Sc4 Sc 0.500 0.500 0.500
Al1 Al 0.250 0.250 0.250
Al2 Al 0.250 0.250 0.750
Al3 Al 0.250 0.750 0.250
Al4 Al 0.250 0.750 0.750
Al5 Al 0.750 0.250 0.250
Al6 Al 0.750 0.250 0.750
Al7 Al 0.750 0.750 0.250
Al8 Al 0.750 0.750 0.750
```

E above lowest polymorph   0.008 eV/atom
DFT formation energy   -0.406 eV/atom
V   20.82 A^3/atom

=====

(2)
A relaxed structure of KMgSn. Source: Alexandria, functional GGA-PBE.

Structure (CIF):
```
data_KMgSn
_cell_length_a 5.216
_cell_length_b 5.216
_cell_length_c 4.069
_cell_angle_alpha 90.00
_cell_angle_beta 90.00
_cell_angle_gamma 120.00
_space_group_name_H-M_alt 'P 1'
_space_group_IT_number 1
loop_
_space_group_symop_operation_xyz
'x,y,z'
loop_
_atom_site_label
_atom_site_type_symbol
_atom_site_fract_x
_atom_site_fract_y
_atom_site_fract_z
K1 K 0.000 0.000 0.000
Mg1 Mg 0.333 0.667 0.501
Sn1 Sn 0.667 0.333 0.500
```

E above lowest polymorph   0.093 eV/atom
DFT formation energy   -0.108 eV/atom
V   31.96 A^3/atom